# 1
Compound: Li3Mg
Source: Alexandria
Functional: SCAN
Structure: PBEsol geometry

The structure in CIF format:
```
data_Li3Mg
_space_group_name_H-M_alt 'P 63 c m'
_space_group_IT_number 185
_space_group_name_Hall 'P 6c -2'
_cell_length_a 7.9834
_cell_length_b 7.9834
_cell_length_c 8.7180
_cell_angle_alpha 90.00
_cell_angle_beta 90.00
_cell_angle_gamma 120.00
loop_
_atom_site_label
_atom_site_type_symbol
_atom_site_fract_x
_atom_site_fract_y
_atom_site_fract_z
_atom_site_occupancy
Li1 Li 0.0000 0.0000 0.1763 1
Li2 Li 0.0000 0.2875 0.0000 1
Li3 Li 0.0000 0.2969 0.3333 1
Li4 Li 0.3333 0.6667 0.4219 1
Mg1 Mg 0.0000 0.3875 0.6671 1
```

D(E_F): 0.397 states/eV per atom
E_form: 35 meV/atom

# 2
Compound: ZnFe3
Source: Alexandria
Functional: SCAN
Structure: PBEsol geometry

The structure in CIF format:
```
data_ZnFe3
_space_group_name_H-M_alt 'C m c m'
_space_group_IT_number 63
_space_group_name_Hall '-C 2c 2'
_cell_length_a 8.004
_cell_length_b 5.781
_cell_length_c 3.938
_cell_angle_alpha 90.00
_cell_angle_beta 90.00
_cell_angle_gamma 90.00
loop_
_atom_site_label
_atom_site_type_symbol
_atom_site_fract_x
_atom_site_fract_y
_atom_site_fract_z
_atom_site_occupancy
Zn1 Zn 0.000 0.134 0.250 1
Fe1 Fe 0.000 0.392 0.750 1
Fe2 Fe 0.246 0.129 0.750 1
```

D(E_F): 0.573 states/eV per atom
E_form: -18 meV/atom

# 3
Compound: LiSi2Tc2
Source: Alexandria
Functional: SCAN
Structure: PBEsol geometry

The structure in CIF format:
```
data_LiSi2Tc2
_space_group_name_H-M_alt 'I 4/m m m'
_space_group_IT_number 139
_space_group_name_Hall '-I 4 2'
_cell_length_a 3.862
_cell_length_b 3.862
_cell_length_c 10.547
_cell_angle_alpha 90.00
_cell_angle_beta 90.00
_cell_angle_gamma 90.00
loop_
_atom_site_label
_atom_site_type_symbol
_atom_site_fract_x
_atom_site_fract_y
_atom_site_fract_z
_atom_site_occupancy
Li1 Li 0.000 0.000 0.000 1
Si1 Si 0.000 0.000 0.390 1
Tc1 Tc 0.000 0.500 0.250 1
```

Relative energy among the computed polymorphs: 286 meV per atom
D(E_F): 0.832 states/eV per atom
ΔE_f (raw): -171 meV/atom

# 4
Compound: SiMo3Os
Source: Alexandria
Functional: SCAN
Structure: PBEsol geometry

The structure in CIF format:
```
data_SiMo3Os
_space_group_name_H-M_alt 'P m -3 m'
_space_group_IT_number 221
_space_group_name_Hall '-P 4 2 3'
_cell_length_a 4.354
_cell_length_b 4.354
_cell_length_c 4.354
_cell_angle_alpha 90.00
_cell_angle_beta 90.00
_cell_angle_gamma 90.00
loop_
_atom_site_label
_atom_site_type_symbol
_atom_site_fract_x
_atom_site_fract_y
_atom_site_fract_z
_atom_site_occupancy
Si1 Si 0.000 0.000 0.000 1
Mo1 Mo 0.000 0.000 0.500 1
Os1 Os 0.500 0.500 0.500 1
```

D(E_F): 1.069 states/eV per atom
ΔE_f (raw): 1286 meV/atom

# 5
Compound: HRu3Pt
Source: Alexandria
Functional: SCAN
Structure: PBEsol geometry

The structure in CIF format:
```
data_HRu3Pt
_space_group_name_H-M_alt 'P m -3 m'
_space_group_IT_number 221
_space_group_name_Hall '-P 4 2 3'
_cell_length_a 3.844
_cell_length_b 3.844
_cell_length_c 3.844
_cell_angle_alpha 90.00
_cell_angle_beta 90.00
_cell_angle_gamma 90.00
loop_
_atom_site_label
_atom_site_type_symbol
_atom_site_fract_x
_atom_site_fract_y
_atom_site_fract_z
_atom_site_occupancy
H1 H 0.000 0.000 0.000 1
Ru1 Ru 0.000 0.000 0.500 1
Pt1 Pt 0.500 0.500 0.500 1
```

D(E_F): 0.816 states/eV per atom
VASP energy: -35.54 eV/atom

# 6
Compound: SbBr4
Source: Alexandria
Functional: SCAN
Structure: PBEsol geometry

The structure in CIF format:
```
data_SbBr4
_space_group_name_H-M_alt 'I 4/m m m'
_space_group_IT_number 139
_space_group_name_Hall '-I 4 2'
_cell_length_a 6.084
_cell_length_b 6.084
_cell_length_c 8.394
_cell_angle_alpha 90.00
_cell_angle_beta 90.00
_cell_angle_gamma 90.00
loop_
_atom_site_label
_atom_site_type_symbol
_atom_site_fract_x
_atom_site_fract_y
_atom_site_fract_z
_atom_site_occupancy
Sb1 Sb 0.000 0.000 0.000 1
Br1 Br 0.000 0.000 0.323 1
Br2 Br 0.000 0.500 0.250 1
```

D(E_F): 1.184 states/eV per atom
ΔE_f (raw): 449 meV/atom

# 7
Compound: P2WSe
Source: Alexandria
Functional: SCAN
Structure: PBEsol geometry

The structure in CIF format:
```
data_P2WSe
_space_group_name_H-M_alt 'P 4/m m m'
_space_group_IT_number 123
_space_group_name_Hall '-P 4 2'
_cell_length_a 4.434
_cell_length_b 4.434
_cell_length_c 2.997
_cell_angle_alpha 90.00
_cell_angle_beta 90.00
_cell_angle_gamma 90.00
loop_
_atom_site_label
_atom_site_type_symbol
_atom_site_fract_x
_atom_site_fract_y
_atom_site_fract_z
_atom_site_occupancy
P1 P 0.000 0.500 0.000 1
W1 W 0.000 0.000 0.500 1
Se1 Se 0.500 0.500 0.500 1
```

D(E_F): 0.794 states/eV per atom
ΔE_f (raw): 903 meV/atom

# 8
Compound: LiFe2W
Source: Alexandria
Functional: SCAN
Structure: PBEsol geometry

The structure in CIF format:
```
data_LiFe2W
_space_group_name_H-M_alt 'C 1 2/m 1'
_space_group_IT_number 12
_cell_length_a 7.952
_cell_length_b 2.539
_cell_length_c 4.611
_cell_angle_alpha 90.00
_cell_angle_beta 94.64
_cell_angle_gamma 90.00
loop_
_space_group_symop_operation_xyz
'x,y,z'
'-x,-y,-z'
'-x,y,-z'
'x,-y,z'
'x+1/2,y+1/2,z'
'-x+1/2,-y+1/2,-z'
'-x+1/2,y+1/2,-z'
'x+1/2,-y+1/2,z'
loop_
_atom_site_label
_atom_site_type_symbol
_atom_site_fract_x
_atom_site_fract_y
_atom_site_fract_z
_atom_site_occupancy
Li1 Li 0.000 0.000 0.000 1
Fe1 Fe 0.249 0.500 0.226 1
W1 W 0.000 0.500 0.500 1
```

D(E_F): 0.700 states/eV per atom
E_form: 514 meV/atom

# 9
Compound: LaCrSeS2
Source: Alexandria
Functional: SCAN
Structure: PBEsol geometry

The structure in CIF format:
```
data_LaCrSeS2
_space_group_name_H-M_alt 'P 4/m m m'
_space_group_IT_number 123
_space_group_name_Hall '-P 4 2'
_cell_length_a 4.572
_cell_length_b 4.572
_cell_length_c 4.850
_cell_angle_alpha 90.00
_cell_angle_beta 90.00
_cell_angle_gamma 90.00
loop_
_atom_site_label
_atom_site_type_symbol
_atom_site_fract_x
_atom_site_fract_y
_atom_site_fract_z
_atom_site_occupancy
La1 La 0.000 0.000 0.000 1
Cr1 Cr 0.500 0.500 0.500 1
Se1 Se 0.500 0.500 0.000 1
S1 S 0.000 0.500 0.500 1
```

D(E_F): 0.053 states/eV per atom
ΔE_f (raw): -1472 meV/atom

# 10
Compound: Mg2Cd2Pb
Source: Alexandria
Functional: SCAN
Structure: PBEsol geometry

The structure in CIF format:
```
data_Mg2Cd2Pb
_space_group_name_H-M_alt 'P 4/m b m'
_space_group_IT_number 127
_space_group_name_Hall '-P 4 2ab'
_cell_length_a 8.281
_cell_length_b 8.281
_cell_length_c 3.366
_cell_angle_alpha 90.00
_cell_angle_beta 90.00
_cell_angle_gamma 90.00
loop_
_atom_site_label
_atom_site_type_symbol
_atom_site_fract_x
_atom_site_fract_y
_atom_site_fract_z
_atom_site_occupancy
Mg1 Mg 0.175 0.325 0.000 1
Cd1 Cd 0.123 0.623 0.500 1
Pb1 Pb 0.000 0.000 0.500 1
```

Relative energy among the computed polymorphs: 0 meV per atom
D(E_F): 0.390 states/eV per atom
E_form: -82 meV/atom

# 11
Compound: Li3MoAs
Source: Alexandria
Functional: SCAN
Structure: PBEsol geometry

The structure in CIF format:
```
data_Li3MoAs
_space_group_name_H-M_alt 'P m -3 m'
_space_group_IT_number 221
_space_group_name_Hall '-P 4 2 3'
_cell_length_a 4.835
_cell_length_b 4.835
_cell_length_c 4.835
_cell_angle_alpha 90.00
_cell_angle_beta 90.00
_cell_angle_gamma 90.00
loop_
_atom_site_label
_atom_site_type_symbol
_atom_site_fract_x
_atom_site_fract_y
_atom_site_fract_z
_atom_site_occupancy
Li1 Li 0.000 0.000 0.500 1
Mo1 Mo 0.000 0.000 0.000 1
As1 As 0.500 0.500 0.500 1
```

D(E_F): 0.495 states/eV per atom
E_form: 1205 meV/atom

# 12
Compound: Pm2GaRu
Source: Alexandria
Functional: SCAN
Structure: PBEsol geometry

The structure in CIF format:
```
data_Pm2GaRu
_space_group_name_H-M_alt 'F m -3 m'
_space_group_IT_number 225
_space_group_name_Hall '-F 4 2 3'
_cell_length_a 7.045
_cell_length_b 7.045
_cell_length_c 7.045
_cell_angle_alpha 90.00
_cell_angle_beta 90.00
_cell_angle_gamma 90.00
loop_
_atom_site_label
_atom_site_type_symbol
_atom_site_fract_x
_atom_site_fract_y
_atom_site_fract_z
_atom_site_occupancy
Pm1 Pm 0.250 0.250 0.250 1
Ga1 Ga 0.000 0.000 0.000 1
Ru1 Ru 0.000 0.000 0.500 1
```

D(E_F): 0.514 states/eV per atom
E_form: -421 meV/atom